1.
10
Lattice="7.819 0.000 0.000 0.000 4.794 0.000 -3.024 0.000 7.806" Properties=species:S:1:pos:R:3 comment="Sr2CdAgAu | Alexandria via LeMat-Bulk | PBE | relaxed" delta_e_f_kj_per_mol_fu=-232.3 pbc="T T T"
Sr -0.263 1.199 1.598
Sr 0.968 3.596 4.862
Sr 3.827 1.199 2.945
Sr 5.058 3.596 6.208
Cd -0.219 1.199 7.422
Cd 5.014 3.596 0.384
Ag 2.149 3.596 1.282
Ag 2.645 1.199 6.525
Au -1.194 1.199 4.696
Au 5.989 3.596 3.110

***

2.
4
Lattice="5.053 0.000 0.000 0.000 5.053 0.000 0.000 0.000 3.568" Properties=species:S:1:pos:R:3 comment="HfScTe2 | Alexandria via LeMat-Bulk | PBE | relaxed" raw_formation_energy_mev_per_atom=-700 pbc="T T T"
Hf 0.000 0.000 0.000
Sc 2.527 2.527 0.000
Te 0.000 2.527 1.784
Te 2.527 0.000 1.784

***

3.
9
Lattice="5.389 0.000 0.000 0.000 5.389 0.000 0.000 0.000 11.877" Properties=species:S:1:pos:R:3 comment="Li2Ca6Ac | Alexandria via LeMat-Bulk | PBE | relaxed" delta_e_f_kj_per_mol_fu=78.9 pbc="T T T"
Li 0.000 0.000 1.254
Li 0.000 0.000 10.623
Ca 0.000 0.000 5.939
Ca 0.000 2.694 3.119
Ca 0.000 2.694 8.758
Ca 2.694 0.000 3.119
Ca 2.694 0.000 8.758
Ca 2.694 2.694 5.939
Ac 2.694 2.694 0.000

***

4.
5
Lattice="5.959 -1.645 0.000 5.959 1.645 0.000 -2.084 0.000 5.630" Properties=species:S:1:pos:R:3 comment="NiBiP3 | Alexandria via LeMat-Bulk | PBE | relaxed" delta_e_f_kj_per_mol_fu=-8.6 pbc="T T T"
Ni 0.000 0.000 0.000
Bi 9.343 0.000 0.895
P 6.565 0.000 1.217
P 5.943 0.000 3.386
P 10.404 0.000 3.491

***

5.
21
Lattice="9.356 0.000 0.000 -4.678 8.102 0.000 0.000 0.000 3.913" Properties=species:S:1:pos:R:3 comment="Sc2P7Ru12 | Alexandria via LeMat-Bulk | PBE | relaxed" delta_e_f_kj_per_mol_fu=-1460.5 pbc="T T T"
Sc 0.000 0.000 0.000
Sc 0.000 5.402 1.957
P -2.129 5.206 0.000
P 2.230 0.415 1.957
P 1.234 3.656 0.000
P 0.895 7.343 0.000
P 4.678 2.701 0.000
P 3.922 5.964 1.957
P 7.882 1.724 1.957
Ru -3.089 6.316 1.957
Ru -0.999 3.256 0.000
Ru 0.753 2.269 1.957
Ru -1.358 7.339 0.000
Ru 2.624 1.814 0.000
Ru 4.509 1.007 1.957
Ru 3.296 3.694 1.957
Ru 2.357 5.609 0.000
Ru 2.336 7.620 1.957
Ru 6.473 1.365 0.000
Ru 4.937 4.923 0.000
Ru 6.229 3.401 1.957

***

6.
2
Lattice="4.610 0.000 0.000 0.000 4.610 0.000 0.000 0.000 3.284" Properties=species:S:1:pos:R:3 comment="Bi | Alexandria via LeMat-Bulk | PBE | relaxed" delta_e_f_kj_per_mol_fu=4.3 pbc="T T T"
Bi 1.152 1.152 0.176
Bi 3.457 3.457 3.108

***

7.
4
Lattice="5.413 0.000 0.000 0.000 5.413 0.000 0.000 0.000 3.944" Properties=species:S:1:pos:R:3 comment="Dy2LuMg | Alexandria via LeMat-Bulk | PBE | relaxed" delta_e_f_kj_per_mol_fu=12.7 pbc="T T T"
Dy 0.000 2.706 0.000
Dy 2.706 0.000 0.000
Lu 0.000 0.000 1.972
Mg 2.706 2.706 1.972

***

8.
5
Lattice="5.641 0.000 0.000 0.000 5.641 0.000 0.000 0.000 5.157" Properties=species:S:1:pos:R:3 comment="La2ZrInSi | Alexandria via LeMat-Bulk | PBE | relaxed" raw_formation_energy_mev_per_atom=314 pbc="T T T"
La 0.000 2.821 0.000
La 2.821 0.000 0.000
Zr 0.000 0.000 0.000
In 2.821 2.821 2.579
Si 0.000 0.000 2.579